AcFeSe2O8 after structural relaxation. Source: Alexandria, functional PBE+U.

The structure belongs to space group R-3 (No. 148, hexagonal axes); the cell edges are 5.0815, 5.0815 and 20.2424 Å and the angles 90.00°, 90.00° and 120.00°. The distinct sites, in fractional coordinates, are Ac at (0.0000, 0.0000, 0.0000), Fe at (0.0000, 0.0000, 0.5000), Se at (0.0000, 0.0000, 0.2279), O at (0.0000, 0.0000, 0.3125) and O at (0.0134, 0.3704, 0.2238).

The value obtained for the total DFT energy (no corrections) is -5.85 eV per atom. The total magnetization comes out at 2.96 μB/f.u. The value obtained for the density of states at the Fermi level is 6.438 states/eV per cell.